1.
A relaxed structure of NdErTmCu, computed with PBE.

The structure belongs to space group P4mm (No. 99); the cell edges are 3.4844, 3.4844 and 8.6973 Å and the angles 90.00°, 90.00° and 90.00°. The inequivalent atoms are Nd at (0.0000, 0.0000, 0.0000), Er at (0.5000, 0.5000, 0.6903), Tm at (0.5000, 0.5000, 0.3082) and Cu at (0.0000, 0.0000, 0.4972).

For the energy of formation from the pure elements, the calculation gives -114 meV per atom. As for the size of the total moment: 0.000 Bohr magnetons per cell.

***

2.
A relaxed structure of Nd5DyAu6, computed with PBE.

The structure belongs to space group C2/m (No. 12); the cell edges are 16.5705, 7.3612 and 5.2430 Å and the angles 90.00°, 108.28° and 90.00°. The inequivalent atoms are Nd at (0.0000, 0.0000, 0.0000), Nd at (0.1650, 0.0000, 0.6652), Nd at (0.1692, 0.5000, 0.6686), Dy at (0.0000, 0.5000, 0.0000), Au at (0.0000, 0.2674, 0.5000) and Au at (0.1616, 0.2589, 0.1611).

For the energy of formation from the pure elements, the calculation gives -778 meV per atom. As for the size of the total moment: 0.000 Bohr magnetons per cell.

***

3.
A relaxed structure of TaVAu, computed with PBE.

The structure belongs to space group R-3m (No. 166, hexagonal axes); the cell edges are 4.3657, 4.3657 and 20.0172 Å and the angles 90.00°, 90.00° and 120.00°. The inequivalent atoms are Ta at (0.0000, 0.0000, 0.0671), V at (0.0000, 0.0000, 0.3497) and Au at (0.0000, 0.0000, 0.2089).

Its energy above the most stable polymorph in this dataset is 0.2842 eV per atom. For the energy of formation from the pure elements, the calculation gives 291 meV per atom. As for the size of the total moment: 0.001 Bohr magnetons per cell.

***

4.
A relaxed structure of Tb6Ho3Th2, computed with PBE.

The structure belongs to space group Pnnm (No. 58); the cell edges are 5.9646, 12.4705 and 10.0549 Å and the angles 90.00°, 90.00° and 90.00°. The inequivalent atoms are Tb at (0.1824, 0.2029, 0.0000), Tb at (0.2097, 0.2243, 0.3380), Ho at (0.0000, 0.0000, 0.1798), Ho at (0.0000, 0.5000, 0.5000) and Th at (0.2428, 0.9478, 0.5000).

For the energy of formation from the pure elements, the calculation gives 332 meV per atom. As for the size of the total moment: 0.000 Bohr magnetons per cell.

***

DOS at the Fermi energy for every record listed, in sequence, given in states/eV/atom: 1.056; 0.739; 1.308; 1.725.